Below is crystalline KSc2FeB at its relaxed geometry, with properties calculated at the PBE level.

Cell lengths 4.831, 4.831, 4.275 Å; angles 90.00, 90.00, 90.00 degrees
Fractional coordinates of all 5 atoms:
K 0.000 0.000 0.000
Sc 0.000 0.500 0.000
Sc 0.500 0.000 0.000
Fe 0.500 0.500 0.500
B 0.000 0.000 0.500

ΔH_f (0 K) = 2201 meV/atom
space-group type = P4/mmm, No. 123

***

Below is crystalline KSc2FeB at its relaxed geometry, with properties calculated at the PBE level.

Cell lengths 4.727, 4.727, 4.074 Å; angles 90.00, 90.00, 90.00 degrees
Fractional coordinates of all 5 atoms:
K 0.000 0.000 0.000
Sc 0.000 0.500 0.000
Sc 0.500 0.000 0.000
Fe 0.000 0.000 0.500
B 0.500 0.500 0.500

ΔH_f (0 K) = 2321 meV/atom
space-group type = P4/mmm, No. 123

***

Below is crystalline LaFe7B3 at its relaxed geometry, with properties calculated at the PBE level.

Cell lengths 7.455, 7.455, 7.455 Å; angles 53.06, 53.06, 53.06 degrees
Fractional coordinates of all 22 atoms:
La 0.000 0.000 0.000
La 0.500 0.500 0.500
Fe 0.085 0.846 0.651
Fe 0.151 0.346 0.585
Fe 0.154 0.349 0.915
Fe 0.250 0.250 0.250
Fe 0.346 0.585 0.151
Fe 0.349 0.915 0.154
Fe 0.415 0.849 0.654
Fe 0.585 0.151 0.346
Fe 0.651 0.085 0.846
Fe 0.654 0.415 0.849
Fe 0.750 0.750 0.750
Fe 0.846 0.651 0.085
Fe 0.849 0.654 0.415
Fe 0.915 0.154 0.349
B 0.066 0.750 0.434
B 0.250 0.566 0.934
B 0.434 0.066 0.750
B 0.566 0.934 0.250
B 0.750 0.434 0.066
B 0.934 0.250 0.566

ΔH_f (0 K) = 33 meV/atom
space-group type = R-3c, No. 167

***

Below is crystalline La2FeB10 at its relaxed geometry, with properties calculated at the PBE level.

Cell lengths 5.691, 11.325, 4.226 Å; angles 90.00, 90.00, 90.00 degrees
Fractional coordinates of all 26 atoms:
La 0.208 0.132 0.000
La 0.292 0.632 0.000
La 0.708 0.368 0.000
La 0.792 0.868 0.000
Fe 0.000 0.500 0.500
Fe 0.500 0.000 0.500
B 0.038 0.313 0.500
B 0.128 0.960 0.500
B 0.153 0.803 0.500
B 0.204 0.387 0.203
B 0.204 0.387 0.797
B 0.296 0.887 0.203
B 0.296 0.887 0.797
B 0.347 0.303 0.500
B 0.372 0.460 0.500
B 0.462 0.813 0.500
B 0.538 0.187 0.500
B 0.628 0.540 0.500
B 0.653 0.697 0.500
B 0.704 0.113 0.203
B 0.704 0.113 0.797
B 0.796 0.613 0.203
B 0.796 0.613 0.797
B 0.847 0.197 0.500
B 0.872 0.040 0.500
B 0.962 0.687 0.500

ΔH_f (0 K) = -557 meV/atom
space-group type = Pbam, No. 55

***

Below is crystalline LaFe4B4 at its relaxed geometry, with properties calculated at the PBE level.

Cell lengths 7.104, 7.104, 3.808 Å; angles 90.00, 90.00, 90.00 degrees
Fractional coordinates of all 18 atoms:
La 0.250 0.250 0.250
La 0.750 0.750 0.750
Fe 0.119 0.638 0.144
Fe 0.138 0.881 0.644
Fe 0.362 0.619 0.644
Fe 0.381 0.862 0.144
Fe 0.619 0.138 0.856
Fe 0.638 0.381 0.356
Fe 0.862 0.119 0.356
Fe 0.881 0.362 0.856
B 0.049 0.915 0.144
B 0.085 0.549 0.644
B 0.415 0.951 0.644
B 0.451 0.585 0.144
B 0.549 0.415 0.856
B 0.585 0.049 0.356
B 0.915 0.451 0.356
B 0.951 0.085 0.856

ΔH_f (0 K) = -418 meV/atom
space-group type = P4_2/n, No. 86

***

Below is crystalline LaFeB at its relaxed geometry, with properties calculated at the PBE level.

Cell lengths 3.659, 3.659, 8.319 Å; angles 90.00, 90.00, 90.00 degrees
Fractional coordinates of all 6 atoms:
La 0.250 0.250 0.216
La 0.750 0.750 0.784
Fe 0.250 0.750 0.500
Fe 0.750 0.250 0.500
B 0.250 0.250 0.603
B 0.750 0.750 0.397

ΔH_f (0 K) = -295 meV/atom
space-group type = P4/nmm, No. 129

***

Below is crystalline LaMgFeB2 at its relaxed geometry, with properties calculated at the PBE level.

Cell lengths 4.774, 4.774, 4.563 Å; angles 90.00, 90.00, 90.00 degrees
Fractional coordinates of all 5 atoms:
La 0.000 0.000 0.000
Mg 0.500 0.500 0.500
Fe 0.000 0.000 0.500
B 0.000 0.500 0.000
B 0.500 0.000 0.000

ΔH_f (0 K) = 1991 meV/atom
space-group type = P4/mmm, No. 123

***

Below is crystalline NaLaFe2B at its relaxed geometry, with properties calculated at the PBE level.

Cell lengths 4.649, 4.649, 4.539 Å; angles 90.00, 90.00, 90.00 degrees
Fractional coordinates of all 5 atoms:
Na 0.000 0.000 0.000
La 0.500 0.500 0.500
Fe 0.000 0.500 0.000
Fe 0.500 0.000 0.000
B 0.000 0.000 0.500

ΔH_f (0 K) = 1533 meV/atom
space-group type = P4/mmm, No. 123

***

no.,density of states at the Fermi level (states/eV/cell),DFT total energy (eV per atom),magnetization (μB per formula unit)
1,6.8,-3.580,2.36
2,4.2,-3.459,1.14
3,22.9,-7.621,12.83
4,4.0,-7.103,0.00
5,15.9,-7.695,0.63
6,7.4,-6.984,0.63
7,4.3,-3.677,0.00
8,11.2,-4.437,5.07